#i
A plane-wave DFT calculation with GGA-PBE was carried out for an optimized crystal structure of DyTcB4.

Values from the calculation:
Its calculated volume is 10.0 Å³ per atom.

Unit cell a=3.1475 b=3.1475 c=6.9917 alpha=90.00 beta=90.00 gamma=120.00
Closest atoms and distances in Å follow each position.
Element x y z (fractional)
B1 0.3333 0.6667 0.7232  3 B 1.82
B2 0.6667 0.3333 0.7232  3 B 1.82
B3 0.6667 0.3333 0.2768  3 B 1.82
B4 0.3333 0.6667 0.2768  3 B 1.82
Tc1 0.0000 0.0000 0.5000  12 B 2.40
Dy1 0.0000 0.0000 0.0000  12 B 2.65

#ii
A plane-wave DFT calculation with GGA-PBE was carried out for an optimized crystal structure of DyTcB4.

Values from the calculation:
Its calculated volume is 10.0 Å³ per atom.

Unit cell a=4.7271 b=4.7271 c=4.7271 alpha=141.03 beta=110.75 gamma=82.43
Closest atoms and distances in Å follow each position.
Element x y z (fractional)
Tc1 0.5000 0.5000 0.0000  12 B 2.53-2.54
B1 0.0875 0.7512 0.3363  3 B 1.76-1.83
B2 0.5851 0.2488 0.3363  3 B 1.76-1.83
B3 0.4149 0.7512 0.6637  3 B 1.76-1.83
B4 0.9125 0.2488 0.6637  3 B 1.76-1.83
Dy1 0.0000 0.0000 0.0000  12 B 2.53-2.54

What are the relative energies? In meV/atom: #i 0; #ii 12.

#i
A plane-wave DFT calculation with GGA-PBE was carried out for an optimized crystal structure of DyZnB4.

Values from the calculation:
Its calculated volume is 10.4 Å³ per atom.

Unit cell a=3.1786 b=3.1786 c=7.1387 alpha=90.00 beta=90.00 gamma=120.00
Closest atoms and distances in Å follow each position.
Element x y z (fractional)
Dy1 0.0000 0.0000 0.5000  12 B 2.66
B1 0.3333 0.6667 0.7703  3 B 1.84
B2 0.6667 0.3333 0.2297  3 B 1.84
B3 0.6667 0.3333 0.7703  3 B 1.84
B4 0.3333 0.6667 0.2297  3 B 1.84
Zn1 0.0000 0.0000 0.0000  12 B 2.46

#ii
A plane-wave DFT calculation with GGA-PBE was carried out for an optimized crystal structure of DyZnB4.

Values from the calculation:
Its calculated volume is 10.9 Å³ per atom.

Unit cell a=4.9763 b=4.9763 c=4.9763 alpha=142.71 beta=116.36 gamma=76.14
Closest atoms and distances in Å follow each position.
Element x y z (fractional)
Zn1 0.5000 0.5000 0.0000  12 B 2.52-2.75
Dy1 0.0000 0.0000 0.0000  12 B 2.62-2.66
B1 0.9380 0.2615 0.6766  3 B 1.78-1.85
B2 0.4151 0.7385 0.6766  3 B 1.78-1.85
B3 0.5849 0.2615 0.3234  3 B 1.78-1.85
B4 0.0620 0.7385 0.3234  3 B 1.78-1.85

What are the relative energies? In meV/atom: #i 90; #ii 0.

#i
A plane-wave DFT calculation with GGA-PBE was carried out for an optimized crystal structure of DyZrB.

Values from the calculation:
Its calculated volume is 21.4 Å³ per atom.

Unit cell a=4.4945 b=4.4945 c=4.4945 alpha=60.00 beta=60.00 gamma=60.00
Closest atoms and distances in Å follow each position.
Element x y z (fractional)
Zr1 0.7500 0.7500 0.7500  4 Dy 2.75
Dy1 0.0000 0.0000 0.0000  4 Zr 2.75, 4 B 2.75
B1 0.2500 0.2500 0.2500  4 Dy 2.75

#ii
A plane-wave DFT calculation with GGA-PBE was carried out for an optimized crystal structure of DyZrB.

Values from the calculation:
Its calculated volume is 19.4 Å³ per atom.

Unit cell a=4.3490 b=4.3490 c=4.3490 alpha=60.00 beta=60.00 gamma=60.00
Closest atoms and distances in Å follow each position.
Element x y z (fractional)
B1 0.0000 0.0000 0.0000  4 Zr 2.66, 4 Dy 2.66
Dy1 0.2500 0.2500 0.2500  4 B 2.66
Zr1 0.7500 0.7500 0.7500  4 B 2.66

What are the relative energies? In meV/atom: #i 1456; #ii 0.

#i
A plane-wave DFT calculation with GGA-PBE was carried out for an optimized crystal structure of ErB.

Values from the calculation:
Its calculated volume is 22.1 Å³ per atom.

Unit cell a=4.4294 b=4.4294 c=5.1950 alpha=90.00 beta=90.00 gamma=120.00
Closest atoms and distances in Å follow each position.
Element x y z (fractional)
B1 0.3333 0.6667 0.4377  5 Er 2.56-2.60
B2 0.0000 0.0000 0.9377  5 Er 2.56-2.60
Er1 0.0000 0.0000 0.4373  5 B 2.56-2.60
Er2 0.3333 0.6667 0.9373  5 B 2.56-2.60

#ii
A plane-wave DFT calculation with GGA-PBE was carried out for an optimized crystal structure of ErB.

Values from the calculation:
Its calculated volume is 18.1 Å³ per atom.

Unit cell a=3.7453 b=3.7453 c=5.9719 alpha=90.00 beta=90.00 gamma=120.00
Closest atoms and distances in Å follow each position.
Element x y z (fractional)
B1 0.0000 0.0000 0.5000  6 Er 2.63
B2 0.0000 0.0000 0.0000  6 Er 2.63
Er1 0.6667 0.3333 0.7500  6 B 2.63
Er2 0.3333 0.6667 0.2500  6 B 2.63

What are the relative energies? In meV/atom: #i 451; #ii 0.

#i
A plane-wave DFT calculation with GGA-PBE was carried out for an optimized crystal structure of ErB2.

Values from the calculation:
Its calculated volume is 65.6 Å³ per atom.

Unit cell a=8.2267 b=8.2267 c=8.2267 alpha=60.00 beta=60.00 gamma=60.00
Closest atoms and distances in Å follow each position.
Element x y z (fractional)
B1 0.8750 0.3750 0.3750  2 Er 2.52
B2 0.3750 0.8750 0.3750  2 Er 2.52
B3 0.3750 0.3750 0.8750  2 Er 2.52
B4 0.3750 0.3750 0.3750  2 Er 2.52
Er1 0.5000 0.5000 0.5000  4 B 2.52
Er2 0.2500 0.2500 0.2500  4 B 2.52

#ii
A plane-wave DFT calculation with GGA-PBE was carried out for an optimized crystal structure of ErB2.

Values from the calculation:
Its calculated volume is 11.3 Å³ per atom.

Unit cell a=4.5803 b=4.5803 c=4.5803 alpha=60.00 beta=60.00 gamma=60.00
Closest atoms and distances in Å follow each position.
Element x y z (fractional)
B1 0.1250 0.6250 0.6250  6 B 2.29
B2 0.6250 0.6250 0.1250  6 B 2.29
B3 0.6250 0.6250 0.6250  6 B 2.29
B4 0.6250 0.1250 0.6250  6 B 2.29
Er1 0.0000 0.0000 0.0000  12 B 2.69, 4 Er 2.80
Er2 0.2500 0.2500 0.2500  12 B 2.69, 4 Er 2.80

What are the relative energies? In meV/atom: #i 2421; #ii 0.

#i
A plane-wave DFT calculation with GGA-PBE was carried out for an optimized crystal structure of SmErFe2Ni6B2.

Values from the calculation:
Its calculated volume is 12.8 Å³ per atom.

Unit cell a=5.0327 b=5.0327 c=7.0113 alpha=90.00 beta=90.00 gamma=120.00
Closest atoms and distances in Å follow each position.
Element x y z (fractional)
Fe1 0.3333 0.6667 0.0000  6 Ni 2.51
Fe2 0.6667 0.3333 0.0000  6 Ni 2.51
Sm1 0.0000 0.0000 0.5000  6 B 2.91, 12 Ni 2.91
B1 0.6667 0.3333 0.5000  6 Ni 2.06
B2 0.3333 0.6667 0.5000  6 Ni 2.06
Ni1 0.5000 0.5000 0.7086  2 B 2.06
Ni2 0.5000 0.0000 0.2914  2 B 2.06
Ni3 0.0000 0.5000 0.7086  2 B 2.06
Ni4 0.0000 0.5000 0.2914  2 B 2.06
Ni5 0.5000 0.5000 0.2914  2 B 2.06
Ni6 0.5000 0.0000 0.7086  2 B 2.06
Er1 0.0000 0.0000 0.0000  6 Fe 2.91, 12 Ni 3.24

#ii
A plane-wave DFT calculation with GGA-PBE was carried out for an optimized crystal structure of SmErFe2Ni6B2.

Values from the calculation:
Its calculated volume is 12.8 Å³ per atom.

Unit cell a=5.0259 b=5.0259 c=7.0101 alpha=90.00 beta=90.00 gamma=120.00
Closest atoms and distances in Å follow each position.
Element x y z (fractional)
Ni1 0.0000 0.5000 0.2956  2 B 2.04
Ni2 0.5000 0.0000 0.7044  2 B 2.04
Ni3 0.0000 0.5000 0.7044  2 B 2.04
Ni4 0.5000 0.5000 0.2956  2 B 2.04
Ni5 0.5000 0.0000 0.2956  2 B 2.04
Ni6 0.5000 0.5000 0.7044  2 B 2.04
B1 0.6667 0.3333 0.5000  6 Ni 2.04
B2 0.3333 0.6667 0.5000  6 Ni 2.04
Sm1 0.0000 0.0000 0.0000  6 Fe 2.90
Er1 0.0000 0.0000 0.5000  12 Ni 2.89, 6 B 2.90
Fe1 0.6667 0.3333 0.0000  6 Ni 2.53
Fe2 0.3333 0.6667 0.0000  6 Ni 2.53

What are the relative energies? In meV/atom: #i 18; #ii 0.

#i
A plane-wave DFT calculation with GGA-PBE was carried out for an optimized crystal structure of SmErFe6Ni2B2.

Values from the calculation:
Its calculated volume is 12.9 Å³ per atom.

Unit cell a=5.0254 b=5.0254 c=7.0803 alpha=90.00 beta=90.00 gamma=120.00
Closest atoms and distances in Å follow each position.
Element x y z (fractional)
Sm1 0.0000 0.0000 0.5000  6 B 2.90, 12 Fe 2.94
Fe1 0.0000 0.5000 0.2847  2 B 2.10
Fe2 0.5000 0.5000 0.2847  2 B 2.10
Fe3 0.5000 0.0000 0.7153  2 B 2.10
Fe4 0.5000 0.0000 0.2847  2 B 2.10
Fe5 0.0000 0.5000 0.7153  2 B 2.10
Fe6 0.5000 0.5000 0.7153  2 B 2.10
B1 0.6667 0.3333 0.5000  6 Fe 2.10
B2 0.3333 0.6667 0.5000  6 Fe 2.10
Er1 0.0000 0.0000 0.0000  6 Ni 2.90, 12 Fe 3.22
Ni1 0.3333 0.6667 0.0000  6 Fe 2.48
Ni2 0.6667 0.3333 0.0000  6 Fe 2.48

#ii
A plane-wave DFT calculation with GGA-PBE was carried out for an optimized crystal structure of SmErFe6Ni2B2.

Values from the calculation:
Its calculated volume is 12.9 Å³ per atom.

Unit cell a=5.0279 b=5.0279 c=7.0483 alpha=90.00 beta=90.00 gamma=120.00
Closest atoms and distances in Å follow each position.
Element x y z (fractional)
Fe1 0.0000 0.5000 0.7116  2 B 2.08
Fe2 0.5000 0.0000 0.2884  2 B 2.08
Fe3 0.5000 0.5000 0.2884  2 B 2.08
Fe4 0.0000 0.5000 0.2884  2 B 2.08
Fe5 0.5000 0.0000 0.7116  2 B 2.08
Fe6 0.5000 0.5000 0.7116  2 B 2.08
B1 0.6667 0.3333 0.5000  6 Fe 2.08
B2 0.3333 0.6667 0.5000  6 Fe 2.08
Er1 0.0000 0.0000 0.5000  6 B 2.90, 12 Fe 2.92
Ni1 0.6667 0.3333 0.0000  6 Fe 2.50
Ni2 0.3333 0.6667 0.0000  6 Fe 2.50
Sm1 0.0000 0.0000 0.0000  6 Ni 2.90, 12 Fe 3.23

What are the relative energies? In meV/atom: #i 22; #ii 0.

#i
A plane-wave DFT calculation with GGA-PBE was carried out for an optimized crystal structure of SmErFe8B2.

Values from the calculation:
Its calculated volume is 13.1 Å³ per atom.

Unit cell a=5.0757 b=5.0757 c=7.0281 alpha=90.00 beta=90.00 gamma=120.00
Closest atoms and distances in Å follow each position.
Element x y z (fractional)
Fe1 0.0000 0.5000 0.7155  2 B 2.11
Fe2 0.5000 0.5000 0.2845  2 B 2.11
Fe3 0.6667 0.3333 0.0000  6 Fe 2.48
Fe4 0.5000 0.0000 0.7155  2 B 2.11
Fe5 0.5000 0.0000 0.2845  2 B 2.11
Fe6 0.0000 0.5000 0.2845  2 B 2.11
Fe7 0.3333 0.6667 0.0000  6 Fe 2.48
Fe8 0.5000 0.5000 0.7155  2 B 2.11
B1 0.3333 0.6667 0.5000  6 Fe 2.11
B2 0.6667 0.3333 0.5000  6 Fe 2.11
Er1 0.0000 0.0000 0.0000  18 Fe 2.93-3.23
Sm1 0.0000 0.0000 0.5000  6 B 2.93, 12 Fe 2.96

#ii
A plane-wave DFT calculation with GGA-PBE was carried out for an optimized crystal structure of SmErFe8B2.

Values from the calculation:
Its calculated volume is 13.1 Å³ per atom.

Unit cell a=5.0718 b=5.0718 c=7.0311 alpha=90.00 beta=90.00 gamma=120.00
Closest atoms and distances in Å follow each position.
Element x y z (fractional)
Fe1 0.5000 0.0000 0.7117  2 B 2.09
Fe2 0.3333 0.6667 0.0000  6 Fe 2.50
Fe3 0.6667 0.3333 0.0000  6 Fe 2.50
Fe4 0.0000 0.5000 0.2883  2 B 2.09
Fe5 0.0000 0.5000 0.7117  2 B 2.09
Fe6 0.5000 0.5000 0.7117  2 B 2.09
Fe7 0.5000 0.5000 0.2883  2 B 2.09
Fe8 0.5000 0.0000 0.2883  2 B 2.09
Sm1 0.0000 0.0000 0.0000  18 Fe 2.93-3.25
B1 0.3333 0.6667 0.5000  6 Fe 2.09
B2 0.6667 0.3333 0.5000  6 Fe 2.09
Er1 0.0000 0.0000 0.5000  6 B 2.93, 12 Fe 2.94

What are the relative energies? In meV/atom: #i 13; #ii 0.

#i
A plane-wave DFT calculation with GGA-PBE was carried out for an optimized crystal structure of GdErNi8B2.

Values from the calculation:
Its calculated volume is 12.5 Å³ per atom.

Unit cell a=4.9844 b=4.9844 c=6.9664 alpha=90.00 beta=90.00 gamma=120.00
Closest atoms and distances in Å follow each position.
Element x y z (fractional)
B1 0.6667 0.3333 0.5000  6 Ni 2.05
B2 0.3333 0.6667 0.5000  6 Ni 2.05
Ni1 0.0000 0.5000 0.7087  2 B 2.05
Ni2 0.5000 0.5000 0.2913  2 B 2.05
Ni3 0.0000 0.5000 0.2913  2 B 2.05
Ni4 0.6667 0.3333 0.0000  6 Ni 2.49
Ni5 0.5000 0.5000 0.7087  2 B 2.05
Ni6 0.5000 0.0000 0.7087  2 B 2.05
Ni7 0.5000 0.0000 0.2913  2 B 2.05
Ni8 0.3333 0.6667 0.0000  6 Ni 2.49
Er1 0.0000 0.0000 0.0000  18 Ni 2.88-3.21
Gd1 0.0000 0.0000 0.5000  6 B 2.88, 12 Ni 2.89

#ii
A plane-wave DFT calculation with GGA-PBE was carried out for an optimized crystal structure of GdErNi8B2.

Values from the calculation:
Its calculated volume is 12.5 Å³ per atom.

Unit cell a=4.9843 b=4.9843 c=6.9572 alpha=90.00 beta=90.00 gamma=120.00
Closest atoms and distances in Å follow each position.
Element x y z (fractional)
Er1 0.0000 0.0000 0.5000  6 B 2.88, 12 Ni 2.88
Ni1 0.0000 0.5000 0.2931  2 B 2.04
Ni2 0.5000 0.0000 0.7069  2 B 2.04
Ni3 0.3333 0.6667 0.0000  6 Ni 2.50
Ni4 0.0000 0.5000 0.7069  2 B 2.04
Ni5 0.5000 0.5000 0.2931  2 B 2.04
Ni6 0.5000 0.0000 0.2931  2 B 2.04
Ni7 0.6667 0.3333 0.0000  6 Ni 2.50
Ni8 0.5000 0.5000 0.7069  2 B 2.04
B1 0.3333 0.6667 0.5000  6 Ni 2.04
B2 0.6667 0.3333 0.5000  6 Ni 2.04
Gd1 0.0000 0.0000 0.0000  18 Ni 2.88-3.22

What are the relative energies? In meV/atom: #i 14; #ii 0.

#i
A plane-wave DFT calculation with GGA-PBE was carried out for an optimized crystal structure of ErInB4.

Values from the calculation:
Its calculated volume is 11.5 Å³ per atom.

Unit cell a=3.2228 b=3.2228 c=7.6404 alpha=90.00 beta=90.00 gamma=120.00
Closest atoms and distances in Å follow each position.
Element x y z (fractional)
B1 0.3333 0.6667 0.2473  3 B 1.86
B2 0.3333 0.6667 0.7527  3 B 1.86
B3 0.6667 0.3333 0.2473  3 B 1.86
B4 0.6667 0.3333 0.7527  3 B 1.86
Er1 0.0000 0.0000 0.0000  12 B 2.65
In1 0.0000 0.0000 0.5000  12 B 2.68

#ii
A plane-wave DFT calculation with GGA-PBE was carried out for an optimized crystal structure of ErInB4.

Values from the calculation:
Its calculated volume is 11.5 Å³ per atom.

Unit cell a=5.1067 b=5.1067 c=5.1067 alpha=143.33 beta=117.26 gamma=74.92
Closest atoms and distances in Å follow each position.
Element x y z (fractional)
B1 0.4114 0.7387 0.6727  3 B 1.81-1.84
B2 0.9340 0.2613 0.6727  3 B 1.81-1.84
B3 0.0660 0.7387 0.3273  3 B 1.81-1.84
B4 0.5886 0.2613 0.3273  3 B 1.81-1.84
In1 0.5000 0.5000 0.0000  12 B 2.60-2.81
Er1 0.0000 0.0000 0.0000  12 B 2.68-2.74

What are the relative energies? In meV/atom: #i 131; #ii 0.